(1)
HoPuSc (PBE, optimized geometry); energy above the lowest structure with this stoichiometry = 0 meV/atom; VASP energy = -8.30 eV per atom; energy of formation = 112.0 meV per atom
1.0
-1.702 1.702 7.045
1.702 -1.702 7.045
1.702 1.702 -7.045
Ho Pu Sc
1 1 1
Cartesian
0.000 0.000 0.000 Ho
0.000 0.000 9.497 Pu
0.000 0.000 4.665 Sc



(2)
PmMnVSi2 (PBE, optimized geometry); VASP energy = -7.34 eV per atom; formation energy from raw total energies = -0.561 eV per atom
1.0
-1.989 1.989 5.383
1.989 -1.989 5.383
1.989 1.989 -5.383
Pm Mn V Si
1 1 1 2
Cartesian
0.000 0.000 0.000 Pm
1.989 0.000 2.691 Mn
0.000 1.989 2.691 V
0.000 0.000 4.139 Si
0.000 0.000 6.626 Si



Q: Number 2 is which compound?
A: PmMnVSi2



Q: Among the records above, which one has the highest VASP energy?
A: PmMnVSi2



Q: Among the records above, which one has the lowest VASP energy?
A: HoPuSc